Entry 1:
VASP calculation (GGA-PBE) on a geometry-optimized TlFeBr2 structure.

The structure in CIF format:
```
data_TlFeBr2
_chemical_formula_sum 'Tl4 Fe4 Br8'
_cell_length_a 7.4498
_cell_length_b 7.4498
_cell_length_c 7.4498
_cell_angle_alpha 90.00
_cell_angle_beta 90.00
_cell_angle_gamma 90.00
_symmetry_space_group_name_H-M 'F -4 3 m'
_symmetry_Int_Tables_number 216
_symmetry_space_group_name_Hall 'F -4 2 3'
loop_
_atom_site_label
_atom_site_type_symbol
_atom_site_fract_x
_atom_site_fract_y
_atom_site_fract_z
_atom_site_occupancy
Tl1 Tl 0.0000 0.0000 0.0000 1
Fe1 Fe 0.2500 0.2500 0.7500 1
Br1 Br 0.0000 0.0000 0.5000 1
Br2 Br 0.2500 0.2500 0.2500 1
```

Results
Density of states at the Fermi level in states/eV/cell: 30.968
Relative energy among the computed polymorphs in meV per atom: 718
Formation energy (no corrections) in eV per atom: 0.45
Final energy in eV for the cell shown: -49.46

=====

Entry 2:
VASP calculation (GGA-PBE) on a geometry-optimized BaMnI2 structure.

The structure in CIF format:
```
data_BaMnI2
_chemical_formula_sum 'Ba4 Mn4 I8'
_cell_length_a 8.3769
_cell_length_b 8.3769
_cell_length_c 8.3769
_cell_angle_alpha 90.00
_cell_angle_beta 90.00
_cell_angle_gamma 90.00
_symmetry_space_group_name_H-M 'F m -3 m'
_symmetry_Int_Tables_number 225
_symmetry_space_group_name_Hall '-F 4 2 3'
loop_
_atom_site_label
_atom_site_type_symbol
_atom_site_fract_x
_atom_site_fract_y
_atom_site_fract_z
_atom_site_occupancy
Ba1 Ba 0.0000 0.0000 0.0000 1
Mn1 Mn 0.0000 0.0000 0.5000 1
I1 I 0.2500 0.2500 0.2500 1
```

Results
Density of states at the Fermi level in states/eV/cell: 16.064
Relative energy among the computed polymorphs in meV per atom: 0
Formation energy (no corrections) in eV per atom: -0.47
Final energy in eV for the cell shown: -64.27

=====

Entry 3:
VASP calculation (GGA-PBE) on a geometry-optimized BaTa2Ir structure.

The structure in CIF format:
```
data_BaTa2Ir
_chemical_formula_sum 'Ba1 Ta2 Ir1'
_cell_length_a 5.0337
_cell_length_b 5.0337
_cell_length_c 3.1031
_cell_angle_alpha 90.00
_cell_angle_beta 90.00
_cell_angle_gamma 90.00
_symmetry_space_group_name_H-M 'P 4/m m m'
_symmetry_Int_Tables_number 123
_symmetry_space_group_name_Hall '-P 4 2'
loop_
_atom_site_label
_atom_site_type_symbol
_atom_site_fract_x
_atom_site_fract_y
_atom_site_fract_z
_atom_site_occupancy
Ba1 Ba 0.0000 0.0000 0.0000 1
Ta1 Ta 0.0000 0.5000 0.5000 1
Ir1 Ir 0.5000 0.5000 0.0000 1
```

Results
Density of states at the Fermi level in states/eV/cell: 2.961
Relative energy among the computed polymorphs in meV per atom: 736
ΔE_f in eV/atom: 0.954
Final energy in eV for the cell shown: -30.67

=====

Entry 4:
VASP calculation (GGA-PBE) on a geometry-optimized PmThCuSi structure.

The structure in CIF format:
```
data_PmThCuSi
_chemical_formula_sum 'Pm4 Th4 Cu4 Si4'
_cell_length_a 7.1849
_cell_length_b 7.1849
_cell_length_c 7.1849
_cell_angle_alpha 90.00
_cell_angle_beta 90.00
_cell_angle_gamma 90.00
_symmetry_space_group_name_H-M 'F -4 3 m'
_symmetry_Int_Tables_number 216
_symmetry_space_group_name_Hall 'F -4 2 3'
loop_
_atom_site_label
_atom_site_type_symbol
_atom_site_fract_x
_atom_site_fract_y
_atom_site_fract_z
_atom_site_occupancy
Pm1 Pm 0.0000 0.0000 0.0000 1
Th1 Th 0.0000 0.0000 0.5000 1
Cu1 Cu 0.2500 0.2500 0.2500 1
Si1 Si 0.2500 0.2500 0.7500 1
```

Results
Density of states at the Fermi level in states/eV/cell: 13.151
Formation energy (no corrections) in eV per atom: -0.30
Final energy in eV for the cell shown: -91.64

=====

Entry 5:
VASP calculation (GGA-PBE) on a geometry-optimized LiNdAsAu structure.

The structure in CIF format:
```
data_LiNdAsAu
_chemical_formula_sum 'Li4 Nd4 As4 Au4'
_cell_length_a 7.0621
_cell_length_b 7.0621
_cell_length_c 7.0621
_cell_angle_alpha 90.00
_cell_angle_beta 90.00
_cell_angle_gamma 90.00
_symmetry_space_group_name_H-M 'F -4 3 m'
_symmetry_Int_Tables_number 216
_symmetry_space_group_name_Hall 'F -4 2 3'
loop_
_atom_site_label
_atom_site_type_symbol
_atom_site_fract_x
_atom_site_fract_y
_atom_site_fract_z
_atom_site_occupancy
Li1 Li 0.0000 0.0000 0.0000 1
Nd1 Nd 0.0000 0.0000 0.5000 1
As1 As 0.2500 0.2500 0.2500 1
Au1 Au 0.2500 0.2500 0.7500 1
```

Results
Density of states at the Fermi level in states/eV/cell: 3.889
ΔE_f in eV/atom: -0.819
Final energy in eV for the cell shown: -71.54

=====

Entry 6:
VASP calculation (GGA-PBE) on a geometry-optimized AlIn3 structure.

The structure in CIF format:
```
data_AlIn3
_chemical_formula_sum 'Al3 In9'
_cell_length_a 3.2522
_cell_length_b 3.2522
_cell_length_c 32.2558
_cell_angle_alpha 90.00
_cell_angle_beta 90.00
_cell_angle_gamma 120.00
_symmetry_space_group_name_H-M 'R -3 m'
_symmetry_Int_Tables_number 166
_symmetry_space_group_name_Hall '-R 3 2"'
loop_
_atom_site_label
_atom_site_type_symbol
_atom_site_fract_x
_atom_site_fract_y
_atom_site_fract_z
_atom_site_occupancy
Al1 Al 0.0000 0.0000 0.0000 1
In1 In 0.0000 0.0000 0.2562 1
In2 In 0.0000 0.0000 0.5000 1
```

Results
Density of states at the Fermi level in states/eV/cell: 3.903
ΔE_f in eV/atom: 0.087
Final energy in eV for the cell shown: -34.83

=====

Entry 7:
VASP calculation (GGA-PBE) on a geometry-optimized K8Rb2Pt structure.

The structure in CIF format:
```
data_K8Rb2Pt
_chemical_formula_sum 'K16 Rb4 Pt2'
_cell_length_a 16.8901
_cell_length_b 11.4946
_cell_length_c 9.0235
_cell_angle_alpha 90.00
_cell_angle_beta 111.11
_cell_angle_gamma 90.00
_symmetry_space_group_name_H-M 'C 1 2/m 1'
_symmetry_Int_Tables_number 12
loop_
_symmetry_equiv_pos_as_xyz
'x,y,z'
'-x,-y,-z'
'-x,y,-z'
'x,-y,z'
'x+1/2,y+1/2,z'
'-x+1/2,-y+1/2,-z'
'-x+1/2,y+1/2,-z'
'x+1/2,-y+1/2,z'
loop_
_atom_site_label
_atom_site_type_symbol
_atom_site_fract_x
_atom_site_fract_y
_atom_site_fract_z
_atom_site_occupancy
K1 K 0.1085 0.0000 0.3677 1
K2 K 0.1135 0.1791 0.9117 1
K3 K 0.1354 0.5000 0.6892 1
Rb1 Rb 0.1373 0.5000 0.2167 1
Pt1 Pt 0.0000 0.0000 0.0000 1
```

Results
Density of states at the Fermi level in states/eV/cell: 17.873
ΔE_f in eV/atom: 0.067
Final energy in eV for the cell shown: -32.04

=====

Entry 8:
VASP calculation (GGA-PBE) on a geometry-optimized ScMnNbMo structure.

The structure in CIF format:
```
data_ScMnNbMo
_chemical_formula_sum 'Sc4 Mn4 Nb4 Mo4'
_cell_length_a 6.4461
_cell_length_b 6.4461
_cell_length_c 6.4461
_cell_angle_alpha 90.00
_cell_angle_beta 90.00
_cell_angle_gamma 90.00
_symmetry_space_group_name_H-M 'F -4 3 m'
_symmetry_Int_Tables_number 216
_symmetry_space_group_name_Hall 'F -4 2 3'
loop_
_atom_site_label
_atom_site_type_symbol
_atom_site_fract_x
_atom_site_fract_y
_atom_site_fract_z
_atom_site_occupancy
Sc1 Sc 0.0000 0.0000 0.0000 1
Mn1 Mn 0.2500 0.2500 0.2500 1
Nb1 Nb 0.0000 0.0000 0.5000 1
Mo1 Mo 0.2500 0.2500 0.7500 1
```

Results
Density of states at the Fermi level in states/eV/cell: 19.006
ΔE_f in eV/atom: 0.075
Final energy in eV for the cell shown: -144.40

=====

Entry 9:
VASP calculation (GGA-PBE) on a geometry-optimized LiMgP2 structure.

The structure in CIF format:
```
data_LiMgP2
_chemical_formula_sum 'Li4 Mg4 P8'
_cell_length_a 7.1199
_cell_length_b 7.1199
_cell_length_c 5.1965
_cell_angle_alpha 90.00
_cell_angle_beta 90.00
_cell_angle_gamma 90.00
_symmetry_space_group_name_H-M 'I -4 2 d'
_symmetry_Int_Tables_number 122
_symmetry_space_group_name_Hall 'I -4 2bw'
loop_
_atom_site_label
_atom_site_type_symbol
_atom_site_fract_x
_atom_site_fract_y
_atom_site_fract_z
_atom_site_occupancy
Li1 Li 0.0000 0.0000 0.0000 1
Mg1 Mg 0.0000 0.0000 0.5000 1
P1 P 0.2464 0.2500 0.1250 1
```

Results
Density of states at the Fermi level in states/eV/cell: 9.821
ΔE_f in eV/atom: -0.096
Final energy in eV for the cell shown: -58.85

=====

Entry 10:
VASP calculation (GGA-PBE) on a geometry-optimized Al3Cr structure.

The structure in CIF format:
```
data_Al3Cr
_chemical_formula_sum 'Al9 Cr3'
_cell_length_a 2.8398
_cell_length_b 2.8398
_cell_length_c 26.1195
_cell_angle_alpha 90.00
_cell_angle_beta 90.00
_cell_angle_gamma 120.00
_symmetry_space_group_name_H-M 'R -3 m'
_symmetry_Int_Tables_number 166
_symmetry_space_group_name_Hall '-R 3 2"'
loop_
_atom_site_label
_atom_site_type_symbol
_atom_site_fract_x
_atom_site_fract_y
_atom_site_fract_z
_atom_site_occupancy
Al1 Al 0.0000 0.0000 0.0000 1
Al2 Al 0.0000 0.0000 0.2443 1
Cr1 Cr 0.0000 0.0000 0.5000 1
```

Results
Density of states at the Fermi level in states/eV/cell: 5.722
ΔE_f in eV/atom: 0.020
Final energy in eV for the cell shown: -62.32